InW2Br: optimized geometry, PBE-GGA.

- Formation energy without anion corrections: 5.563 eV/f.u.
- Relative energy among the computed polymorphs: 1.060 eV per atom
- Space-group type: Fm-3m

Cell lengths 4.651, 4.651, 4.651 Å; angles 60.00, 60.00, 60.00 degrees
Positions (direct):
In1 0.000 0.000 0.000
W1 0.250 0.250 0.250
W2 0.750 0.750 0.750
Br1 0.500 0.500 0.500

Na2MnSbS4: optimized geometry, PBE-GGA.

- Formation energy without anion corrections: -5.469 eV/f.u.
- Space-group type: Imma

Cell lengths 7.770, 7.770, 7.770 Å; angles 120.72, 118.98, 90.26 degrees
Positions (direct):
Na1 0.000 0.000 0.000
Na2 0.500 0.000 0.000
Na3 0.500 0.000 0.500
Na4 0.500 0.500 0.500
Mn1 0.000 0.000 0.500
Mn2 0.000 0.500 0.000
Sb1 0.000 0.500 0.500
Sb2 0.500 0.500 0.000
S1 0.213 0.747 0.466
S2 0.220 0.253 0.966
S3 0.225 0.229 0.505
S4 0.225 0.720 0.995
S5 0.775 0.280 0.005
S6 0.775 0.771 0.495
S7 0.780 0.747 0.034
S8 0.787 0.253 0.534

BiRhN3: optimized geometry, PBE-GGA.

- Formation energy without anion corrections: 12.500 eV/f.u.
- Space-group type: Pm-3m

Cell lengths 4.208, 4.208, 4.208 Å; angles 90.00, 90.00, 90.00 degrees
Positions (direct):
Bi1 0.000 0.000 0.000
Rh1 0.500 0.500 0.500
N1 0.000 0.000 0.500
N2 0.000 0.500 0.000
N3 0.500 0.000 0.000

NaSmCo: optimized geometry, PBE-GGA.

- Relative energy among the computed polymorphs: 0.000 eV per atom
- E_form: -0.0880 eV per atom
- Space-group type: P1

Cell lengths 3.936, 3.936, 12.951 Å; angles 89.99, 89.98, 60.00 degrees
Positions (direct):
Na1 0.000 0.000 0.000
Na2 0.335 0.332 0.235
Sm1 0.665 0.669 0.477
Sm2 0.665 0.669 0.758
Co1 0.331 0.336 0.617
Co2 0.998 0.003 0.617

CsPrHg2: optimized geometry, PBE-GGA.

- Relative energy among the computed polymorphs: 0.000 eV per atom
- E_form: -0.2679 eV per atom
- Space-group type: P4/mmm

Cell lengths 3.989, 3.989, 9.039 Å; angles 90.00, 90.00, 90.00 degrees
Positions (direct):
Cs1 0.000 0.000 0.000
Pr1 0.000 0.000 0.500
Hg1 0.500 0.500 0.310
Hg2 0.500 0.500 0.690

LiErMnIr: optimized geometry, PBE-GGA.

- E_form: -0.2826 eV per atom
- Space-group type: F-43m

Cell lengths 4.616, 4.616, 4.616 Å; angles 60.00, 60.00, 60.00 degrees
Positions (direct):
Li1 0.000 0.000 0.000
Er1 0.250 0.250 0.250
Mn1 0.750 0.750 0.750
Ir1 0.500 0.500 0.500

RbSb2Au: optimized geometry, PBE-GGA.

- Formation energy without anion corrections: -1.020 eV/f.u.
- Relative energy among the computed polymorphs: 0.066 eV per atom
- Space-group type: Cmcm

Cell lengths 4.843, 4.843, 12.061 Å; angles 90.00, 90.00, 95.61 degrees
Positions (direct):
Rb1 0.143 0.857 0.750
Rb2 0.857 0.143 0.250
Sb1 0.304 0.696 0.027
Sb2 0.304 0.696 0.473
Sb3 0.696 0.304 0.527
Sb4 0.696 0.304 0.973
Au1 0.328 0.672 0.250
Au2 0.672 0.328 0.750

CeSm2HoN4: optimized geometry, PBE-GGA.

- Formation energy without anion corrections: -12.469 eV/f.u.
- Space-group type: P2/m

Cell lengths 6.122, 3.549, 6.136 Å; angles 90.00, 109.30, 90.00 degrees
Positions (direct):
Ce1 0.000 0.000 0.000
Sm1 0.000 0.500 0.500
Sm2 0.500 0.000 0.500
Ho1 0.500 0.500 0.000
N1 0.247 0.500 0.240
N2 0.252 0.000 0.761
N3 0.748 0.000 0.239
N4 0.753 0.500 0.760

YSc2Cu3: optimized geometry, PBE-GGA.

- E_form: -0.2595 eV per atom
- Space-group type: P4/mmm

Cell lengths 3.316, 3.316, 10.084 Å; angles 90.00, 90.00, 90.00 degrees
Positions (direct):
Y1 0.000 0.000 0.000
Sc1 0.000 0.000 0.340
Sc2 0.000 0.000 0.660
Cu1 0.500 0.500 0.189
Cu2 0.500 0.500 0.500
Cu3 0.500 0.500 0.811